Record 1
## SmDyGe2 (GGA-PBE)

Data for a relaxed structure of SmDyGe2.

```
SmDyGe2
1.0
4.2470 0.0000 0.0000
-2.1235 3.6780 0.0000
0.0000 0.0000 19.9992
Sm Dy Ge
3 3 6
direct
0.0000 0.0000 0.0000
0.3333 0.6667 0.6667
0.6667 0.3333 0.3333
0.0000 0.0000 0.5000
0.3333 0.6667 0.1667
0.6667 0.3333 0.8333
0.0000 0.0000 0.2477
0.0000 0.0000 0.7523
0.3333 0.6667 0.4190
0.3333 0.6667 0.9143
0.6667 0.3333 0.0857
0.6667 0.3333 0.5810
```

## Properties
The calculation puts the density of states at the Fermi level at 0.905 states/eV per atom. The calculation puts the total energy at -5.30 eV/atom. The value obtained for the density is 7.31 g cm⁻³. The total magnetic moment comes out at 0.0 μB per formula unit. For the energy of formation, the calculation gives -0.661 eV/atom.


Record 2
## DyZnNi (GGA-PBE)

Data for a relaxed structure of DyZnNi.

```
DyZnNi
1.0
4.2331 0.0000 0.0000
-2.1166 3.6660 0.0000
0.0000 0.0000 3.5996
Dy Zn Ni
1 1 1
direct
0.0000 0.0000 0.0000
0.3333 0.6667 0.5000
0.6667 0.3333 0.5000
```

## Properties
The calculation puts the density of states at the Fermi level at 1.089 states/eV per atom. The calculation puts the total energy at -4.27 eV/atom. The value obtained for the density is 8.52 g cm⁻³. The total magnetic moment comes out at 0.0 μB per formula unit. For the energy of formation, the calculation gives -0.385 eV/atom.


Record 3
## MnCuI3 (GGA-PBE)

Data for a relaxed structure of MnCuI3.

```
MnCuI3
1.0
7.4928 0.0000 0.0000
0.0000 8.0475 0.0000
-7.4834 0.0000 11.4901
Mn Cu I
4 4 12
direct
0.0853 0.2438 0.4943
0.0853 0.2562 0.9943
0.9147 0.7438 0.0057
0.9147 0.7562 0.5057
0.2732 0.5214 0.8675
0.2732 0.9786 0.3675
0.7268 0.0214 0.6325
0.7268 0.4786 0.1325
0.1036 0.0395 0.6632
0.1036 0.4605 0.1632
0.2207 0.5337 0.6619
0.2207 0.9663 0.1619
0.4497 0.2489 0.9931
0.4497 0.2511 0.4931
0.5503 0.7489 0.5069
0.5503 0.7511 0.0069
0.7793 0.0337 0.8381
0.7793 0.4663 0.3381
0.8964 0.5395 0.8368
0.8964 0.9605 0.3368
```

## Properties
The calculation puts the total energy at -3.87 eV/atom. For the polymorph energy (0 for the lowest one), the calculation gives 0.0 meV per atom. The formation energy (no corrections) comes out at -284 meV/atom. The value obtained for the density is 4.79 g cm⁻³. The total magnetic moment comes out at 5.0 μB per formula unit.